Material: VPb2F7
Method: DFT, PBE+U
State: optimized geometry

CIF file:
```
data_VPb2F7
_chemical_formula_sum 'V4 Pb8 F28'
_space_group_name_H-M_alt 'C 1 2/c 1'
_space_group_IT_number 15
_space_group_name_Hall '-C 2yc'
_cell_length_a 13.4154
_cell_length_b 6.4520
_cell_length_c 9.0131
_cell_angle_alpha 90.00
_cell_angle_beta 131.27
_cell_angle_gamma 90.00
loop_
_atom_site_label
_atom_site_fract_x
_atom_site_fract_y
_atom_site_fract_z
V1 0.0000 0.0671 0.2500
Pb1 0.1888 0.4766 0.0817
F1 0.0000 0.3865 0.2500
F2 0.0941 0.1425 0.1529
F3 0.1174 0.2025 0.8178
F4 0.1809 0.1204 0.5262
```

Summary:
Spin magnetization, μB/f.u.: 2.0
Calculated total energy, eV per atom: -5.30
Density of states at the Fermi level, states/eV/atom: 0.0000